Record 1
VASP calculation (PBE) on a geometry-optimized BiPd2S structure.

Uncorrected energy (eV per atom): -4.80
Raw formation energy (eV per atom): -0.205
Spin magnetization (μB/cell): 0.000

abc: 4.931 4.931 8.094
angles: 72.26 72.26 90.00
Sites, in units of the cell vectors:
1 S 0.500 0.500 0.000
2 S 0.250 0.750 0.500
3 Bi 0.000 0.000 0.000
4 Bi 0.750 0.250 0.500
5 Pd 0.509 0.125 0.250
6 Pd 0.241 0.625 0.250
7 Pd 0.375 0.491 0.750
8 Pd 0.875 0.759 0.750



Record 2
VASP calculation (PBE) on a geometry-optimized Ba2LiInPd structure.

Uncorrected energy (eV per atom): -3.00
Formation energy (eV/atom): -0.258
Spin magnetization (μB/cell): 0.001
Excess energy over the best structure of this formula in the dataset (meV/atom): 14

abc: 6.210 6.210 4.808
angles: 90.00 90.00 90.00
Sites, in units of the cell vectors:
1 Li 0.000 0.000 0.500
2 Ba 0.000 0.500 0.000
3 Ba 0.500 0.000 0.000
4 Pd 0.000 0.000 0.000
5 In 0.500 0.500 0.500



Record 3
VASP calculation (PBE) on a geometry-optimized TlPt2O structure.

Uncorrected energy (eV per atom): -4.30
Raw formation energy (eV per atom): 0.549
Spin magnetization (μB/cell): 0.934
Excess energy over the best structure of this formula in the dataset (meV/atom): 616

abc: 4.492 4.492 4.492
angles: 60.00 60.00 60.00
Sites, in units of the cell vectors:
1 Tl 0.500 0.500 0.500
2 O 0.000 0.000 0.000
3 Pt 0.250 0.250 0.250
4 Pt 0.750 0.750 0.750



Record 4
VASP calculation (PBE) on a geometry-optimized NaLa3Ga structure.

Uncorrected energy (eV per atom): -3.72
Formation energy (eV/atom): 0.104
Spin magnetization (μB/cell): 0.002
Excess energy over the best structure of this formula in the dataset (meV/atom): 0

abc: 5.896 5.896 5.896
angles: 90.00 90.00 90.00
Sites, in units of the cell vectors:
1 Na 0.500 0.500 0.500
2 Ga 0.000 0.000 0.000
3 La 0.000 0.500 0.000
4 La 0.000 0.000 0.500
5 La 0.500 0.000 0.000



Record 5
VASP calculation (PBE) on a geometry-optimized Sc2PRh structure.

Uncorrected energy (eV per atom): -7.30
Formation energy (eV/atom): -0.942
Spin magnetization (μB/cell): 0.000

abc: 5.693 5.693 5.693
angles: 143.94 139.84 55.06
Sites, in units of the cell vectors:
1 Sc 0.488 0.988 0.500
2 Sc 0.753 0.753 0.000
3 P 0.036 0.536 0.500
4 Rh 0.224 0.224 0.000



Record 6
VASP calculation (PBE) on a geometry-optimized ErMg3 structure.

Uncorrected energy (eV per atom): -2.32
Formation energy (eV/atom): 0.012
Spin magnetization (μB/cell): 0.000

abc: 3.967 5.167 5.899
angles: 115.97 109.65 90.00
Sites, in units of the cell vectors:
1 Mg 0.237 0.653 0.473
2 Mg 0.500 0.417 0.000
3 Mg 0.763 0.180 0.527
4 Er 0.000 0.917 0.000